Here is a geometry-optimized SrFe2P structure from Alexandria via LeMat-Bulk. Energies are from PBE-GGA.

DFT formation energy: 0.45 eV per atom
calculated total energy: -5.550 eV per atom
symmetry: F-43m
magnetization: 5.423 μB/cell

The structure in POSCAR format:
```
SrFe2P
1.0
4.6377 0.0000 0.0000
2.3189 4.0164 0.0000
2.3189 1.3388 3.7867
Sr P Fe
1 1 2
Cartesian
6.9566 4.0164 2.8400
4.6377 2.6776 1.8933
2.3189 1.3388 0.9467
0.0000 0.0000 0.0000
```

Here is a geometry-optimized SrFeP2 structure from Alexandria via LeMat-Bulk. Energies are from PBE-GGA.

DFT formation energy: -0.41 eV per atom
calculated total energy: -5.652 eV per atom
symmetry: Immm
magnetization: 0.788 μB/cell
relative energy among the computed polymorphs: 187 meV/atom

The structure in POSCAR format:
```
SrFeP2
1.0
5.0076 0.0026 -0.0082
-0.1457 5.0055 0.0082
-1.3280 -3.5748 3.2455
Sr P Fe
1 2 1
Cartesian
3.0553 -0.5341 1.6187
1.9926 2.0525 0.0000
0.4383 0.4515 0.0000
0.4786 1.9674 1.6268
```

Here is a geometry-optimized Sr2Fe2P structure from Alexandria via LeMat-Bulk. Energies are from PBE-GGA.

DFT formation energy: 0.23 eV per atom
calculated total energy: -4.909 eV per atom
symmetry: I4/mmm
magnetization: 0.000 μB/cell
relative energy among the computed polymorphs: 0 meV/atom

The structure in POSCAR format:
```
Sr2Fe2P
1.0
-0.8644 1.8168 2.6953
-2.8234 -1.8016 0.3089
2.6114 -6.0317 7.0018
Sr Fe P
2 2 1
Cartesian
-0.9095 -1.2590 2.6555
-0.1668 -4.7575 7.3505
-1.0279 -3.9128 4.4064
-0.0484 -2.1036 5.5996
0.0000 0.0000 0.0000
```

Here is a geometry-optimized Sr2Fe2P structure from Alexandria via LeMat-Bulk. Energies are from PBE-GGA.

DFT formation energy: 0.93 eV per atom
calculated total energy: -4.212 eV per atom
symmetry: P4/mbm
magnetization: 0.543 μB/cell
relative energy among the computed polymorphs: 697 meV/atom

The structure in POSCAR format:
```
Sr2Fe2P
1.0
8.6187 0.0000 0.0000
0.0000 8.6187 0.0000
0.0000 0.0000 3.2617
P Sr Fe
2 4 4
Cartesian
0.0000 0.0000 0.0000
4.3094 4.3094 0.0000
1.7117 2.5977 0.0000
6.0210 1.7117 0.0000
6.9071 6.0210 0.0000
2.5977 6.9071 0.0000
5.0023 7.9258 1.6309
3.6165 0.6929 1.6309
7.9258 3.6165 1.6309
0.6929 5.0023 1.6309
```

Here is a geometry-optimized SrFe2P structure from Alexandria via LeMat-Bulk. Energies are from PBE-GGA.

DFT formation energy: 0.25 eV per atom
calculated total energy: -5.752 eV per atom
symmetry: Immm
magnetization: 4.392 μB/cell

The structure in POSCAR format:
```
SrFe2P
1.0
5.3867 -0.0082 -0.0073
1.7994 5.0773 0.0073
-2.7592 -3.7167 2.7550
Fe Sr P
2 1 1
Cartesian
4.1194 2.9058 0.0000
6.6598 4.6978 0.0000
1.3166 1.9476 1.3812
3.1103 -0.5952 1.3739
```

Here is a geometry-optimized SrFeP2 structure from Alexandria via LeMat-Bulk. Energies are from PBE-GGA.

DFT formation energy: -0.55 eV per atom
calculated total energy: -5.794 eV per atom
symmetry: I4_1/amd
magnetization: 0.000 μB/cell
relative energy among the computed polymorphs: 44 meV/atom

The structure in POSCAR format:
```
SrFeP2
1.0
4.8394 0.0000 0.0000
0.0000 4.8394 0.0000
2.4197 2.4197 7.0924
Sr P Fe
2 4 2
Cartesian
4.8394 2.4197 3.5462
0.0000 0.0000 0.0000
2.4190 3.6295 1.7731
3.6295 4.8387 5.3193
2.4203 1.2098 1.7731
6.0492 4.8400 5.3193
2.4197 4.8394 3.5462
2.4197 2.4197 0.0000
```

Here is a geometry-optimized SrFe2P structure from Alexandria via LeMat-Bulk. Energies are from PBE-GGA.

DFT formation energy: 0.59 eV per atom
calculated total energy: -5.415 eV per atom
symmetry: C2/m
magnetization: 5.266 μB/cell

The structure in POSCAR format:
```
SrFe2P
1.0
5.5800 -0.0066 0.0006
-2.6261 4.9234 0.0006
0.8300 1.3815 2.6176
Fe P Sr
2 1 1
Cartesian
0.0000 0.0000 0.0000
1.4769 2.4584 0.0006
3.2050 0.6875 1.3091
-0.8981 3.1525 1.3091
```

Here is a geometry-optimized SrFe2P structure from Alexandria via LeMat-Bulk. Energies are from PBE-GGA.

DFT formation energy: 0.29 eV per atom
calculated total energy: -5.717 eV per atom
symmetry: P4/mmm
magnetization: 3.974 μB/cell

The structure in POSCAR format:
```
SrFe2P
1.0
-2.4427 -1.1984 1.5643
0.2333 -2.6497 -1.6656
4.2838 -2.5836 4.7100
P Fe Sr
1 2 1
Cartesian
-0.0337 -2.5699 1.1269
1.7650 -1.0645 1.9406
0.3769 -0.2273 0.4144
2.1082 -3.8617 3.4819
```

Here is a geometry-optimized SrFeP2 structure from Alexandria via LeMat-Bulk. Energies are from PBE-GGA.

DFT formation energy: -0.50 eV per atom
calculated total energy: -5.743 eV per atom
symmetry: Pmmm
magnetization: 0.523 μB/cell
relative energy among the computed polymorphs: 96 meV/atom

The structure in POSCAR format:
```
SrFeP2
1.0
3.7598 0.0000 0.0000
0.0000 4.6081 -0.0080
0.0000 0.0116 4.7177
Fe P Sr
1 2 1
Cartesian
1.8799 3.4647 3.5322
0.0000 3.4605 2.2879
0.0000 3.4574 0.0589
1.8799 1.1549 1.1774
```

Here is a geometry-optimized SrFeP2 structure from Alexandria via LeMat-Bulk. Energies are from PBE-GGA.

DFT formation energy: 0.23 eV per atom
calculated total energy: -5.014 eV per atom
symmetry: Fm-3m
magnetization: 0.000 μB/cell
relative energy among the computed polymorphs: 824 meV/atom

The structure in POSCAR format:
```
SrFeP2
1.0
-0.1580 -4.3055 -1.6621
1.4071 -3.5372 2.6139
-3.0817 -3.0074 1.6683
P Fe Sr
2 1 1
Cartesian
-1.3744 -8.1376 1.9650
-0.4581 -2.7125 0.6550
0.0000 0.0000 0.0000
-0.9163 -5.4251 1.3100
```

Here is a geometry-optimized Sr2FeP structure from Alexandria via LeMat-Bulk. Energies are from PBE-GGA.

DFT formation energy: -0.32 eV per atom
calculated total energy: -4.625 eV per atom
symmetry: Amm2
magnetization: 1.548 μB/cell

The structure in POSCAR format:
```
Sr2FeP
1.0
-1.9982 3.1431 -1.8968
-3.1340 -2.9541 -1.5935
-4.6360 -0.6785 3.7595
Sr Fe P
2 1 1
Cartesian
-7.2862 -3.5230 1.8379
-3.4016 0.5477 -0.1141
-4.6140 -2.3334 0.9941
-6.1214 -0.6296 0.8003
```

Here is a geometry-optimized SrFeP structure from Alexandria via LeMat-Bulk. Energies are from PBE-GGA.

DFT formation energy: -0.76 eV per atom
calculated total energy: -5.946 eV per atom
symmetry: P4/nmm
magnetization: 0.000 μB/cell

The structure in POSCAR format:
```
SrFeP
1.0
-1.2142 2.5201 2.6011
-3.6214 -0.8095 -0.9061
-0.1102 -6.5146 6.2603
P Fe Sr
2 2 2
Cartesian
-0.6759 -2.8097 5.2114
-1.8521 -2.8496 1.8964
-2.4729 -2.4020 3.9776
-0.0551 -3.2573 3.1302
-0.6294 -0.0571 2.5663
-1.8986 -5.6022 4.5415
```

Here is a geometry-optimized SrFe2P2 structure from Alexandria via LeMat-Bulk. Energies are from PBE-GGA.

DFT formation energy: -0.83 eV per atom
calculated total energy: -6.713 eV per atom
symmetry: I4/mmm
magnetization: 0.000 μB/cell

The structure in POSCAR format:
```
SrFe2P2
1.0
-0.9877 -3.2522 1.7338
2.1099 0.9728 3.0266
-3.9400 1.4554 4.6838
Fe P Sr
2 2 1
Cartesian
-2.1833 -1.4682 4.3989
-0.6346 0.6443 5.0453
-1.9924 -0.4837 6.3544
-0.8255 -0.3402 3.0899
0.0000 0.0000 0.0000
```

Here is a geometry-optimized SrFe2P structure from Alexandria via LeMat-Bulk. Energies are from PBE-GGA.

DFT formation energy: 0.17 eV per atom
calculated total energy: -5.837 eV per atom
symmetry: Imm2
magnetization: 4.587 μB/cell

The structure in POSCAR format:
```
SrFe2P
1.0
-3.9114 -0.2982 3.0730
0.2369 -4.9774 0.0346
3.1168 3.5696 1.5411
Sr Fe P
1 2 1
Cartesian
0.7014 -2.1043 1.6128
-3.3664 -4.8332 2.8470
-1.2379 0.4289 3.0179
-2.1666 -3.1106 1.8323
```

Here is a geometry-optimized SrFe3P structure from Alexandria via LeMat-Bulk. Energies are from PBE-GGA.

DFT formation energy: 2.41 eV per atom
calculated total energy: -4.087 eV per atom
symmetry: Pm-3m
magnetization: 7.637 μB/cell
relative energy among the computed polymorphs: 2235 meV/atom

The structure in POSCAR format:
```
SrFe3P
1.0
-3.9048 1.6372 -2.1331
-2.6370 -1.5958 3.6024
0.5260 4.1534 2.2249
Fe P Sr
3 1 1
Cartesian
-1.3185 -0.7979 1.8012
0.2630 2.0767 1.1125
-1.9524 0.8186 -1.0665
-3.0079 2.0974 1.8471
0.0000 0.0000 0.0000
```